First-principles (PBE) data for Pm3MnGe5 after structural relaxation, as listed in Alexandria.

Lattice parameters (Å, degrees): 5.7091 8.7949 8.7949 120.00 90.00 90.00
Closest atoms and distances in Å follow each position.
Positions (direct):
1 Pm 0.2500 0.0000 0.6161  8 Ge 2.95-3.13
2 Pm 0.2500 0.3839 0.3839  8 Ge 2.95-3.13
3 Pm 0.2500 0.6161 0.0000  8 Ge 2.95-3.13
4 Pm 0.7500 0.0000 0.3839  8 Ge 2.95-3.13
5 Pm 0.7500 0.3839 0.0000  8 Ge 2.95-3.13
6 Pm 0.7500 0.6161 0.6161  8 Ge 2.95-3.13
7 Ge 0.0000 0.6667 0.3333  2 Ge 2.85, 6 Pm 3.09
8 Ge 0.2500 0.0000 0.2371  2 Mn 2.53
9 Ge 0.2500 0.7629 0.7629  2 Mn 2.53
10 Ge 0.5000 0.6667 0.3333  2 Ge 2.85, 6 Pm 3.09
11 Ge 0.2500 0.2371 0.0000  2 Mn 2.53
12 Ge 0.7500 0.2371 0.2371  2 Mn 2.53
13 Ge 0.7500 0.7629 0.0000  2 Mn 2.53
14 Ge 0.0000 0.3333 0.6667  2 Ge 2.85, 6 Pm 3.09
15 Ge 0.7500 0.0000 0.7629  2 Mn 2.53
16 Ge 0.5000 0.3333 0.6667  2 Ge 2.85, 6 Pm 3.09
17 Mn 0.5000 0.0000 0.0000  6 Ge 2.53
18 Mn 0.0000 0.0000 0.0000  6 Ge 2.53

Computed properties:
M_tot ... 1.3 μB per formula unit
ΔH_f (0 K) ... -0.533 eV per atom

=====

First-principles (PBE) data for CaSm6Dy3 after structural relaxation, as listed in Alexandria.

Lattice parameters (Å, degrees): 3.5417 13.3257 15.2851 109.33 90.00 90.00
Closest atoms and distances in Å follow each position.
Positions (direct):
1 Sm 0.2500 0.6718 0.2932  7 Sm 3.39-3.65, 3 Dy 3.45-3.61, 2 Ca 3.77
2 Sm 0.7500 0.1207 0.5053  7 Sm 3.39-3.76, 4 Dy 3.43-3.58
3 Sm 0.7500 0.3282 0.7068  7 Sm 3.39-3.65, 3 Dy 3.45-3.61, 2 Ca 3.77
4 Sm 0.7500 0.0372 0.9028  5 Sm 3.35-3.72
5 Sm 0.7500 0.7818 0.8910  3 Dy 3.34-3.54, 7 Sm 3.35-3.72, 1 Ca 3.47
6 Sm 0.2500 0.5425 0.8752  2 Dy 3.50, 6 Sm 3.54-3.61, 3 Ca 3.55-3.71
7 Sm 0.7500 0.4575 0.1248  2 Dy 3.50, 6 Sm 3.54-3.61, 3 Ca 3.55-3.71
8 Sm 0.2500 0.2182 0.1090  3 Dy 3.34-3.54, 7 Sm 3.35-3.72, 1 Ca 3.47
9 Sm 0.2500 0.9628 0.0972  5 Sm 3.35-3.72
10 Sm 0.2500 0.8793 0.4947  7 Sm 3.39-3.76, 4 Dy 3.43-3.58
11 Sm 0.2500 0.3725 0.5139  3 Dy 3.39-3.63, 6 Sm 3.54-3.76
12 Sm 0.7500 0.6275 0.4861  3 Dy 3.39-3.63, 6 Sm 3.54-3.76
13 Dy 0.7500 0.9110 0.3017  5 Sm 3.43-3.61, 1 Ca 3.50, 3 Dy 3.54-3.62
14 Dy 0.2500 0.8197 0.7037  7 Sm 3.54-3.89, 5 Dy 3.54-3.62
15 Dy 0.7500 0.1803 0.2963  7 Sm 3.54-3.89, 5 Dy 3.54-3.62
16 Dy 0.2500 0.0890 0.6983  5 Sm 3.43-3.61, 1 Ca 3.50, 3 Dy 3.54-3.62
17 Dy 0.7500 0.5802 0.6909  7 Sm 3.34-3.63, 4 Dy 3.54-3.60
18 Dy 0.2500 0.4198 0.3091  7 Sm 3.34-3.63, 4 Dy 3.54-3.60
19 Ca 0.2500 0.2932 0.9125  8 Sm 3.47-3.80, 1 Dy 3.50, 2 Ca 3.54
20 Ca 0.7500 0.7068 0.0875  8 Sm 3.47-3.80, 1 Dy 3.50, 2 Ca 3.54

Computed properties:
M_tot ... 0.0 μB per formula unit
ΔH_f (0 K) ... 0.091 eV per atom

=====

First-principles (PBE) data for Ta2CuCl after structural relaxation, as listed in Alexandria.

Lattice parameters (Å, degrees): 2.9073 2.9074 9.1010 90.00 90.00 90.00
Closest atoms and distances in Å follow each position.
Positions (direct):
1 Ta 0.5000 0.5000 0.2498  4 Cl 2.67, 4 Ta 2.91
2 Ta 0.0000 0.0000 0.0053  4 Cu 2.73, 8 Ta 2.91-3.03
3 Cl 0.0000 0.0000 0.4364  4 Ta 2.67, 4 Cl 2.91
4 Cu 0.5000 0.5000 0.8085  4 Ta 2.73, 4 Cu 2.91

Computed properties:
M_tot ... 0.0 μB per formula unit
Energy above the most stable polymorph in this dataset ... 42 meV per atom
Formation energy (no corrections) ... 0.043 eV per atom

=====

First-principles (PBE) data for FeS2BrCl after structural relaxation, as listed in Alexandria.

Lattice parameters (Å, degrees): 4.8901 4.8901 5.0219 90.00 90.00 90.00
Closest atoms and distances in Å follow each position.
Positions (direct):
1 Cl 0.0000 0.0000 0.5000  2 Br 2.51
2 S 0.0000 0.5000 0.0000  2 Br 2.45
3 S 0.5000 0.0000 0.0000  2 Br 2.45
4 Fe 0.5000 0.5000 0.5000  4 Cl 3.46, 8 S 3.50
5 Br 0.0000 0.0000 0.0000  4 S 2.45, 2 Cl 2.51

Computed properties:
M_tot ... 3.6 μB per formula unit
Energy above the most stable polymorph in this dataset ... 831 meV per atom
Formation energy (no corrections) ... 1.171 eV per atom

=====

First-principles (PBE) data for Hf2Zr2Pd3 after structural relaxation, as listed in Alexandria.

Lattice parameters (Å, degrees): 3.3353 7.1796 6.0140 101.91 73.93 90.04
Closest atoms and distances in Å follow each position.
Positions (direct):
1 Pd 0.1391 0.5473 0.7209  4 Hf 2.84-2.87, 3 Zr 2.95-2.97, 2 Pd 3.00-3.01
2 Pd 0.8609 0.4527 0.2791  4 Hf 2.84-2.87, 3 Zr 2.95-2.97, 2 Pd 3.00-3.01
3 Pd 0.0000 0.0000 0.0000  4 Hf 2.81, 4 Zr 2.96
4 Zr 0.2900 0.1562 0.4200  5 Pd 2.95-2.97, 2 Zr 3.09, 3 Hf 3.13-3.26
5 Zr 0.7100 0.8438 0.5800  5 Pd 2.95-2.97, 2 Zr 3.09, 3 Hf 3.13-3.26
6 Hf 0.5575 0.2819 0.8856  6 Pd 2.81-2.87, 1 Hf 3.13, 2 Zr 3.13
7 Hf 0.4425 0.7181 0.1144  6 Pd 2.81-2.87, 1 Hf 3.13, 2 Zr 3.13

Computed properties:
M_tot ... 0.0 μB per formula unit
ΔH_f (0 K) ... -0.517 eV per atom

=====

First-principles (PBE) data for Hf8SnIr2 after structural relaxation, as listed in Alexandria.

Lattice parameters (Å, degrees): 5.2484 7.4059 7.4059 116.06 100.43 100.43
Closest atoms and distances in Å follow each position.
Positions (direct):
1 Hf 0.6909 0.4082 0.4082  2 Hf 2.84-3.07, 1 Sn 3.01, 2 Ir 3.03
2 Hf 0.0632 0.0923 0.3299  2 Ir 2.65-2.69
3 Hf 0.0632 0.3299 0.0923  2 Ir 2.65-2.69
4 Hf 0.3091 0.5918 0.5918  2 Hf 2.84-3.07, 1 Sn 3.01, 2 Ir 3.03
5 Hf 0.5000 0.7491 0.2509  2 Ir 2.68
6 Hf 0.5000 0.2509 0.7491  2 Ir 2.68
7 Hf 0.9368 0.6701 0.9077  2 Ir 2.65-2.69
8 Hf 0.9368 0.9077 0.6701  2 Ir 2.65-2.69
9 Ir 0.0000 0.2922 0.7078  6 Hf 2.65-2.69
10 Ir 0.0000 0.7078 0.2922  6 Hf 2.65-2.69
11 Sn 0.5000 0.0000 0.0000  8 Hf 3.01-3.22

Computed properties:
M_tot ... 0.0 μB per formula unit
ΔH_f (0 K) ... -0.322 eV per atom

=====

First-principles (PBE) data for DyYSc after structural relaxation, as listed in Alexandria.

Lattice parameters (Å, degrees): 3.3789 5.4707 5.4707 120.00 90.00 90.00
Closest atoms and distances in Å follow each position.
Positions (direct):
1 Sc 0.1675 0.3333 0.6667  3 Y 3.16, 2 Sc 3.38
2 Dy 0.6666 0.6667 0.3333  2 Dy 3.38, 6 Sc 3.58, 6 Y 3.58
3 Y 0.1659 0.0000 0.0000  3 Sc 3.16, 2 Y 3.38

Computed properties:
M_tot ... 0.0 μB per formula unit
Energy above the most stable polymorph in this dataset ... 45 meV per atom
ΔH_f (0 K) ... 0.084 eV per atom

=====

First-principles (PBE) data for LaMnTl2 after structural relaxation, as listed in Alexandria.

Lattice parameters (Å, degrees): 4.9350 4.9350 10.5276 76.44 76.44 90.00
Closest atoms and distances in Å follow each position.
Positions (direct):
1 Tl 0.8750 0.8016 0.7500  2 Mn 2.91, 2 Tl 3.02, 2 La 3.20
2 Tl 0.3750 0.4484 0.7500  2 Mn 2.91, 2 Tl 3.02, 2 La 3.20
3 Tl 0.1984 0.6250 0.2500  2 Mn 2.91, 2 Tl 3.02, 2 La 3.20
4 Tl 0.5516 0.1250 0.2500  2 Mn 2.91, 2 Tl 3.02, 2 La 3.20
5 La 0.7500 0.2500 0.5000  4 Tl 3.20, 4 Mn 3.49
6 La 0.0000 0.0000 0.0000  4 Tl 3.20, 4 Mn 3.49
7 Mn 0.5000 0.5000 0.0000  4 Tl 2.91
8 Mn 0.2500 0.7500 0.5000  4 Tl 2.91

Computed properties:
M_tot ... 4.0 μB per formula unit
ΔH_f (0 K) ... 0.283 eV per atom

=====

First-principles (PBE) data for TlAsPbCl6 after structural relaxation, as listed in Alexandria.

Lattice parameters (Å, degrees): 7.1305 7.1305 6.8793 90.00 90.00 60.00
Closest atoms and distances in Å follow each position.
Positions (direct):
1 Cl 0.0413 0.3444 0.2826  1 As 2.53
2 Cl 0.0411 0.6143 0.7175  1 As 2.53
3 Cl 0.6143 0.3446 0.7175  1 As 2.53
4 Cl 0.3445 0.0412 0.7175  1 As 2.53
5 Cl 0.3444 0.6142 0.2826  1 As 2.53
6 Cl 0.6142 0.0413 0.2826  1 As 2.53
7 Pb 0.6666 0.6667 0.5001  6 Cl 2.92
8 As 0.3333 0.3334 0.4999  6 Cl 2.53
9 Tl 0.0000 0.0000 0.9998  6 Cl 3.26

Computed properties:
M_tot ... 0.0 μB per formula unit
Formation energy (no corrections) ... -0.901 eV per atom

=====

First-principles (PBE) data for La4SmY7 after structural relaxation, as listed in Alexandria.

Lattice parameters (Å, degrees): 3.6410 3.6410 35.3405 90.00 90.00 120.00
Closest atoms and distances in Å follow each position.
Positions (direct):
1 La 0.3333 0.6667 0.9162  6 Y 3.63-3.65, 6 La 3.64
2 La 0.3333 0.6667 0.6663  6 La 3.64, 6 Y 3.65
3 La 0.6667 0.3333 0.3337  6 La 3.64, 6 Y 3.65
4 La 0.6667 0.3333 0.0838  6 Y 3.63-3.65, 6 La 3.64
5 Sm 0.0000 0.0000 0.5000  6 Y 3.58, 6 Sm 3.64
6 Y 0.0000 0.0000 0.7507  9 Y 3.55-3.64, 3 La 3.65
7 Y 0.0000 0.0000 0.2493  9 Y 3.55-3.64, 3 La 3.65
8 Y 0.0000 0.0000 0.0000  6 La 3.63, 6 Y 3.64
9 Y 0.3333 0.6667 0.1681  9 Y 3.55-3.64, 3 La 3.65
10 Y 0.6667 0.3333 0.5820  3 Sm 3.58, 6 Y 3.64, 3 La 3.65
11 Y 0.6667 0.3333 0.8319  9 Y 3.55-3.64, 3 La 3.65
12 Y 0.3333 0.6667 0.4180  3 Sm 3.58, 6 Y 3.64, 3 La 3.65

Computed properties:
M_tot ... 0.0 μB per formula unit
Energy above the most stable polymorph in this dataset ... 0 meV per atom
ΔH_f (0 K) ... 0.012 eV per atom